1.
The following is a PBE calculation of a relaxed TmAlIr crystal, from Alexandria via LeMat-Bulk.

Geometry as POSCAR:
```
TmAlIr
1.0
6.928 0.000 0.000
0.000 4.118 0.000
-0.173 0.000 11.890
Tm Al Ir
6 6 6
Direct
0.032 0.250 0.122
0.152 0.250 0.418
0.466 0.750 0.787
0.534 0.250 0.213
0.848 0.750 0.582
0.968 0.750 0.878
0.136 0.250 0.701
0.359 0.750 0.042
0.495 0.750 0.416
0.505 0.250 0.584
0.641 0.250 0.958
0.864 0.750 0.299
0.238 0.750 0.250
0.268 0.250 0.920
0.268 0.750 0.588
0.732 0.250 0.412
0.732 0.750 0.080
0.762 0.250 0.750
```

Computed properties:
The volume comes out at 18.85 Å³/atom. As for the total energy: -119.96 eV/cell. Its energy of formation from the pure elements is -0.973 eV/atom. For the total moment, the calculation gives 0.00 μB/f.u. Its crystal system is monoclinic.

2.
The following is a PBE calculation of a relaxed Ca4ScBe crystal, from Alexandria via LeMat-Bulk.

Geometry as POSCAR:
```
Ca4ScBe
1.0
0.000 4.681 4.681
4.681 0.000 4.681
4.681 4.681 0.000
Ca Sc Be
4 1 1
Direct
0.125 0.125 0.125
0.125 0.125 0.626
0.125 0.626 0.125
0.626 0.125 0.125
0.750 0.750 0.750
0.500 0.500 0.500
```

Computed properties:
The volume comes out at 34.19 Å³/atom. As for the total energy: -13.25 eV/cell. Its energy of formation from the pure elements is 0.803 eV/atom. For the total moment, the calculation gives 1.78 μB/f.u. Its crystal system is cubic.

3.
The following is a PBE calculation of a relaxed Rb2Ga4Ir crystal, from Alexandria via LeMat-Bulk.

Geometry as POSCAR:
```
Rb2Ga4Ir
1.0
-2.430 2.430 9.553
2.430 -2.430 9.553
2.430 2.430 -9.553
Rb Ga Ir
2 4 1
Direct
0.170 0.170 0.000
0.830 0.830 0.000
0.000 0.500 0.500
0.370 0.370 0.000
0.500 0.000 0.500
0.630 0.630 0.000
0.500 0.500 0.000
```

Computed properties:
The volume comes out at 32.22 Å³/atom. As for the total energy: -23.57 eV/cell. Its energy of formation from the pure elements is -0.095 eV/atom. For the total moment, the calculation gives 0.00 μB/f.u. Its crystal system is tetragonal.

4.
The following is a PBE calculation of a relaxed PmLuCdBi crystal, from Alexandria via LeMat-Bulk.

Geometry as POSCAR:
```
PmLuCdBi
1.0
0.000 3.832 3.832
3.832 0.000 3.832
3.832 3.832 0.000
Pm Lu Cd Bi
1 1 1 1
Direct
0.000 0.000 0.000
0.500 0.500 0.500
0.250 0.250 0.250
0.750 0.750 0.750
```

Computed properties:
The volume comes out at 28.13 Å³/atom. As for the total energy: -15.63 eV/cell. Its energy of formation from the pure elements is -0.390 eV/atom. For the total moment, the calculation gives 0.00 μB/f.u. Its crystal system is cubic.

5.
The following is a PBE calculation of a relaxed SrLa2Ga6 crystal, from Alexandria via LeMat-Bulk.

Geometry as POSCAR:
```
SrLa2Ga6
1.0
-2.327 3.734 6.749
2.327 -3.734 6.749
2.327 3.734 -6.749
Sr La Ga
1 2 6
Direct
0.000 0.000 0.000
0.370 0.870 0.500
0.630 0.130 0.500
0.015 0.320 0.695
0.322 0.500 0.822
0.375 0.680 0.695
0.625 0.320 0.305
0.678 0.500 0.178
0.985 0.680 0.305
```

Computed properties:
The volume comes out at 26.07 Å³/atom. As for the total energy: -33.81 eV/cell. Its energy of formation from the pure elements is -0.457 eV/atom. For the total moment, the calculation gives 0.00 μB/f.u. Its crystal system is orthorhombic. The value obtained for the energy relative to the lowest polymorph listed for this composition is 1.53 eV/f.u.

6.
The following is a PBE calculation of a relaxed K2PaZnS5 crystal, from Alexandria via LeMat-Bulk.

Geometry as POSCAR:
```
K2PaZnS5
1.0
2.024 -9.489 0.000
2.024 9.489 0.000
0.000 0.000 13.334
K Pa Zn S
4 2 2 10
Direct
0.110 0.890 0.500
0.128 0.872 0.149
0.872 0.128 0.649
0.890 0.110 0.000
0.206 0.794 0.845
0.794 0.206 0.345
0.433 0.567 0.260
0.567 0.433 0.760
0.064 0.936 0.856
0.294 0.706 0.475
0.307 0.693 0.211
0.338 0.662 0.830
0.497 0.503 0.119
0.503 0.497 0.619
0.662 0.338 0.330
0.693 0.307 0.711
0.706 0.294 0.975
0.936 0.064 0.356
```

Computed properties:
For the energy relative to the elements, uncorrected, the calculation gives -1146 meV/atom. The volume comes out at 28.45 Å³/atom. As for the total energy: -87.83 eV/cell. For the total moment, the calculation gives 0.94 μB/f.u. Its crystal system is orthorhombic.